(1)
## Tc2HgAs (GGA-PBE)

Data for an optimized crystal structure of Tc2HgAs.

Values from the calculation:
Polymorph energy (0 for the lowest one) ... 0.5672 eV/atom
Symmetry ... Pmmm (47)
Uncorrected energy ... -0.2103 Ha/atom
Crystal system ... orthorhombic
Formation energy from the elements ... 0.70 eV/atom

Cell lengths 3.062, 4.866, 4.532 Å; angles 90.00, 90.00, 90.00 degrees
Each line ends with the local moment (μB).
Fractional coordinates of all 4 atoms:
As 0.500 0.000 0.500  0.00
Hg 0.000 0.500 0.500  0.01
Tc 0.000 0.000 0.000  0.39
Tc 0.500 0.500 0.000  0.04


(2)
## Ac2TbCe3Te6 (GGA-PBE)

Data for an optimized crystal structure of Ac2TbCe3Te6.

Values from the calculation:
Symmetry ... C2/m (12)
Uncorrected energy ... -0.2025 Ha/atom
Crystal system ... monoclinic
Formation energy (no corrections) ... -1.386 eV/atom

Cell lengths 7.867, 7.867, 7.946 Å; angles 99.53, 99.53, 120.07 degrees
Each line ends with the local moment (μB).
Fractional coordinates of all 12 atoms:
Ac 0.335 0.665 0.000  0.00
Ac 0.665 0.335 0.000  0.00
Tb 0.000 0.000 0.000  0.00
Ce 0.175 0.825 0.500  0.99
Ce 0.825 0.175 0.500  0.99
Ce 0.500 0.500 0.500  0.99
Te 0.917 0.598 0.747  -0.01
Te 0.770 0.770 0.262  -0.01
Te 0.083 0.402 0.253  -0.01
Te 0.598 0.917 0.747  -0.01
Te 0.230 0.230 0.738  -0.01
Te 0.402 0.083 0.253  -0.01


(3)
## La2Cu2Hg (GGA-PBE)

Data for an optimized crystal structure of La2Cu2Hg.

Values from the calculation:
Symmetry ... Cmmm (65)
Uncorrected energy ... -0.1469 Ha/atom
Crystal system ... orthorhombic
Formation energy from the elements ... -0.33 eV/atom

Cell lengths 3.859, 4.305, 7.666 Å; angles 106.31, 90.00, 90.00 degrees
Fractional coordinates of all 5 atoms:
La 0.500 0.632 0.265
La 0.500 0.368 0.735
Cu 0.000 0.204 0.409
Cu 0.000 0.796 0.591
Hg 0.000 0.000 0.000


(4)
## ZrNiB4 (GGA-PBE)

Data for an optimized crystal structure of ZrNiB4.

Values from the calculation:
Symmetry ... Pbam (55)
Uncorrected energy ... -0.2722 Ha/atom
Crystal system ... orthorhombic
Formation energy from the elements ... -0.57 eV/atom

Cell lengths 3.300, 5.801, 11.263 Å; angles 90.00, 90.00, 90.00 degrees
Fractional coordinates of all 24 atoms:
Zr 0.000 0.626 0.349
Zr 0.000 0.374 0.651
Zr 0.000 0.126 0.151
Zr 0.000 0.874 0.849
Ni 0.000 0.634 0.089
Ni 0.000 0.366 0.911
Ni 0.000 0.134 0.411
Ni 0.000 0.866 0.589
B 0.500 0.788 0.187
B 0.500 0.212 0.813
B 0.500 0.288 0.313
B 0.500 0.712 0.687
B 0.500 0.866 0.032
B 0.500 0.134 0.968
B 0.500 0.366 0.468
B 0.500 0.634 0.532
B 0.500 0.884 0.452
B 0.500 0.116 0.548
B 0.500 0.384 0.048
B 0.500 0.616 0.952
B 0.500 0.974 0.306
B 0.500 0.026 0.694
B 0.500 0.474 0.194
B 0.500 0.526 0.806